Record 1
Compound: ScAs2Se
Source: Alexandria
Functional: PBE
Structure: relaxed

abc: 4.8393 4.8393 4.8393
angles: 60.00 60.00 60.00
Closest atoms and distances in Å follow each position.
Element x y z (fractional)
Sc (0.0000, 0.0000, 0.0000)  4 As 2.96, 4 Se 2.96
As (0.5000, 0.5000, 0.5000)  4 As 2.96, 4 Se 2.96
As (0.7500, 0.7500, 0.7500)  4 As 2.96, 4 Sc 2.96
Se (0.2500, 0.2500, 0.2500)  4 As 2.96, 4 Sc 2.96

Properties
D(E_F): 5.40 states/eV per cell
space-group type: F-43m, No. 216
E_form (uncorrected): -0.239 eV/atom

=====

Record 2
Compound: Ru5Rh
Source: Alexandria
Functional: PBE
Structure: relaxed

abc: 5.0188 5.0188 5.0188
angles: 60.00 60.00 60.00
Closest atoms and distances in Å follow each position.
Element x y z (fractional)
Ru (0.0000, 0.0000, 0.0000)  12 Ru 2.94, 4 Rh 3.07
Ru (0.3752, 0.3752, 0.3752)  6 Ru 2.51
Ru (0.3752, 0.3752, 0.8743)  6 Ru 2.51
Ru (0.3752, 0.8743, 0.3752)  6 Ru 2.51
Ru (0.8743, 0.3752, 0.3752)  6 Ru 2.51
Rh (0.7500, 0.7500, 0.7500)  16 Ru 2.94-3.07

Properties
energy relative to the lowest polymorph listed for this composition: 594 meV per atom
ΔH_f (0 K): 599 meV/atom
D(E_F): 13.21 states/eV per cell
space-group type: F-43m, No. 216